Material: Be2CuCl
Method: DFT, GGA-PBEsol
State: relaxed

The polymorph energy (0 for the lowest one) comes out at 78 meV per atom. The calculation puts the uncorrected formation energy at 0.14 eV per atom. The calculation puts the total magnetization at 0.00 μB per formula unit.

CIF file:
```
data_Be2CuCl
_chemical_formula_sum 'Be4 Cu2 Cl2'
_space_group_name_H-M_alt 'C 1 2/m 1'
_space_group_IT_number 12
_space_group_name_Hall '-C 2y'
_cell_length_a 7.5699
_cell_length_b 2.8779
_cell_length_c 6.1101
_cell_angle_alpha 90.00
_cell_angle_beta 122.39
_cell_angle_gamma 90.00
loop_
_atom_site_label
_atom_site_type_symbol
_atom_site_fract_x
_atom_site_fract_y
_atom_site_fract_z
Be1 Be 0.1470 0.0000 0.3511
Cu1 Cu 0.0000 0.5000 0.5000
Cl1 Cl 0.0000 0.5000 0.0000
```